Density functional theory data (PBE) for an optimized crystal structure of AlTc3Ru.

Cell lengths 4.360, 4.360, 4.360 Å; angles 90.00, 90.00, 90.00 degrees
Space group Pm-3m (No. 221)
Asymmetric unit:
Al (0.000, 0.000, 0.000) x1
Tc (0.000, 0.000, 0.500) x3
Ru (0.500, 0.500, 0.500) x1

Calculated values
Formation energy ... 1.482 eV per atom
Spin magnetization ... 0.000 μB per atom
Energy relative to the lowest polymorph listed for this composition ... 0.000 eV per atom
V ... 83 Å³ per cell

Density functional theory data (PBE) for an optimized crystal structure of BaSrCdCl6.

Cell lengths 7.2182, 7.2182, 13.2374 Å; angles 90.00, 90.00, 120.00 degrees
Space group P-31c (No. 163)
Asymmetric unit:
Ba (0.0000, 0.0000, 0.0000) x2
Sr (0.3333, 0.6667, 0.2500) x2
Cd (0.3333, 0.6667, 0.7500) x2
Cl (0.0241, 0.3674, 0.6340) x12

Calculated values
Raw formation energy ... -18.05 eV per formula unit
Spin magnetization ... 0.000 μB per atom
V ... 597 Å³ per cell

Density functional theory data (PBE) for an optimized crystal structure of PuScZn2Pd2.

Cell lengths 4.4899, 4.4899, 6.4501 Å; angles 90.00, 90.00, 120.00 degrees
Space group P-3m1 (No. 164)
Asymmetric unit:
Pu (0.0000, 0.0000, 0.0000) x1
Sc (0.0000, 0.0000, 0.5000) x1
Zn (0.3333, 0.6667, 0.7103) x2
Pd (0.3333, 0.6667, 0.2735) x2

Calculated values
Formation energy ... -0.518 eV per atom
Spin magnetization ... 0.956 μB per atom
V ... 113 Å³ per cell

Density functional theory data (PBE) for an optimized crystal structure of BaNi2Se.

Cell lengths 4.960, 4.960, 15.272 Å; angles 90.00, 90.00, 90.00 degrees
Space group I4_1/amd (No. 141, origin choice 2)
Asymmetric unit:
Ba (0.000, 0.250, 0.375) x4
Ni (0.000, 0.000, 0.000) x8
Se (0.000, 0.250, 0.875) x4

Calculated values
Raw formation energy ... -1.96 eV per formula unit
Spin magnetization ... 0.000 μB per atom
V ... 376 Å³ per cell